No. 1
# PBEsol Y2InSe, relaxed
# N(E_F) = 3.3 states/eV/cell
# Energy above the lowest structure with this stoichiometry = 147 kJ/mol of formula units
# ΔE_f (raw) = -790 meV per atom
# M_tot = 0.00 Bohr magnetons per cell
data_Y2InSe
_chemical_formula_sum 'Y2 In1 Se1'
_space_group_name_H-M_alt 'P 1'
_space_group_IT_number 1
_cell_length_a 5.277
_cell_length_b 5.277
_cell_length_c 5.277
_cell_angle_alpha 124.31
_cell_angle_beta 124.31
_cell_angle_gamma 82.68
loop_
_space_group_symop_operation_xyz
'x,y,z'
loop_
_atom_site_label
_atom_site_fract_x
_atom_site_fract_y
_atom_site_fract_z
Y1 0.250 0.750 0.500
Y2 0.750 0.250 0.500
In1 0.000 0.000 0.000
Se1 0.500 0.500 0.000

***

No. 2
# PBEsol ScRe2Ni, relaxed
# N(E_F) = 3.9 states/eV/cell
# Energy above the lowest structure with this stoichiometry = 0 kJ/mol of formula units
# ΔH_f (0 K) = 0.026 eV per atom
# M_tot = 0.00 Bohr magnetons per cell
data_ScRe2Ni
_chemical_formula_sum 'Sc1 Re2 Ni1'
_space_group_name_H-M_alt 'P 1'
_space_group_IT_number 1
_cell_length_a 3.678
_cell_length_b 3.678
_cell_length_c 4.336
_cell_angle_alpha 90.00
_cell_angle_beta 90.00
_cell_angle_gamma 90.00
loop_
_space_group_symop_operation_xyz
'x,y,z'
loop_
_atom_site_label
_atom_site_fract_x
_atom_site_fract_y
_atom_site_fract_z
Sc1 0.000 0.000 0.000
Re1 0.000 0.500 0.500
Re2 0.500 0.000 0.500
Ni1 0.500 0.500 0.000

***

No. 3
# PBEsol Ti3NbZnBi3O14, relaxed
# N(E_F) = 0.0 states/eV/cell
# ΔE_f (raw) = -2230 meV per atom
# M_tot = 0.00 Bohr magnetons per cell
data_Ti3NbZnBi3O14
_chemical_formula_sum 'Ti12 Nb4 Zn4 Bi12 O56'
_space_group_name_H-M_alt 'P 1'
_space_group_IT_number 1
_cell_length_a 10.304
_cell_length_b 10.304
_cell_length_c 10.304
_cell_angle_alpha 90.00
_cell_angle_beta 90.00
_cell_angle_gamma 90.00
loop_
_space_group_symop_operation_xyz
'x,y,z'
loop_
_atom_site_label
_atom_site_fract_x
_atom_site_fract_y
_atom_site_fract_z
Ti1 0.114 0.364 0.125
Ti2 0.125 0.114 0.364
Ti3 0.136 0.875 0.614
Ti4 0.364 0.125 0.114
Ti5 0.375 0.886 0.864
Ti6 0.386 0.636 0.625
Ti7 0.614 0.136 0.875
Ti8 0.625 0.386 0.636
Ti9 0.636 0.625 0.386
Ti10 0.864 0.375 0.886
Ti11 0.875 0.614 0.136
Ti12 0.886 0.864 0.375
Nb1 0.125 0.625 0.875
Nb2 0.375 0.375 0.375
Nb3 0.625 0.875 0.125
Nb4 0.875 0.125 0.625
Zn1 0.125 0.375 0.625
Zn2 0.375 0.625 0.125
Zn3 0.625 0.125 0.375
Zn4 0.875 0.875 0.875
Bi1 0.106 0.125 0.856
Bi2 0.125 0.856 0.106
Bi3 0.144 0.606 0.375
Bi4 0.356 0.394 0.875
Bi5 0.375 0.144 0.606
Bi6 0.394 0.875 0.356
Bi7 0.606 0.375 0.144
Bi8 0.625 0.644 0.894
Bi9 0.644 0.894 0.625
Bi10 0.856 0.106 0.125
Bi11 0.875 0.356 0.394
Bi12 0.894 0.625 0.644
O1 0.001 0.497 0.198
O2 0.003 0.802 0.501
O3 0.005 0.696 0.010
O4 0.010 0.005 0.696
O5 0.021 0.479 0.521
O6 0.052 0.247 0.251
O7 0.054 0.745 0.740
O8 0.196 0.490 0.995
O9 0.198 0.001 0.497
O10 0.229 0.271 0.729
O11 0.240 0.446 0.255
O12 0.245 0.760 0.946
O13 0.247 0.251 0.052
O14 0.249 0.948 0.747
O15 0.251 0.052 0.247
O16 0.253 0.749 0.552
O17 0.255 0.240 0.446
O18 0.260 0.554 0.755
O19 0.271 0.729 0.229
O20 0.302 0.999 0.997
O21 0.304 0.510 0.495
O22 0.446 0.255 0.240
O23 0.448 0.753 0.751
O24 0.479 0.521 0.021
O25 0.490 0.995 0.196
O26 0.495 0.304 0.510
O27 0.497 0.198 0.001
O28 0.499 0.503 0.698
O29 0.501 0.003 0.802
O30 0.503 0.698 0.499
O31 0.505 0.804 0.990
O32 0.510 0.495 0.304
O33 0.521 0.021 0.479
O34 0.552 0.253 0.749
O35 0.554 0.755 0.260
O36 0.696 0.010 0.005
O37 0.698 0.499 0.503
O38 0.729 0.229 0.271
O39 0.740 0.054 0.745
O40 0.745 0.740 0.054
O41 0.747 0.249 0.948
O42 0.749 0.552 0.253
O43 0.751 0.448 0.753
O44 0.753 0.751 0.448
O45 0.755 0.260 0.554
O46 0.760 0.946 0.245
O47 0.771 0.771 0.771
O48 0.802 0.501 0.003
O49 0.804 0.990 0.505
O50 0.946 0.245 0.760
O51 0.948 0.747 0.249
O52 0.979 0.979 0.979
O53 0.990 0.505 0.804
O54 0.995 0.196 0.490
O55 0.997 0.302 0.999
O56 0.999 0.997 0.302

***

No. 4
# PBEsol CaLaIn2, relaxed
# N(E_F) = 4.2 states/eV/cell
# ΔH_f (0 K) = -0.164 eV per atom
# M_tot = 0.00 Bohr magnetons per cell
data_CaLaIn2
_chemical_formula_sum 'Ca1 La1 In2'
_space_group_name_H-M_alt 'P 1'
_space_group_IT_number 1
_cell_length_a 5.413
_cell_length_b 5.413
_cell_length_c 5.413
_cell_angle_alpha 60.00
_cell_angle_beta 60.00
_cell_angle_gamma 60.00
loop_
_space_group_symop_operation_xyz
'x,y,z'
loop_
_atom_site_label
_atom_site_fract_x
_atom_site_fract_y
_atom_site_fract_z
Ca1 0.000 0.000 0.000
La1 0.750 0.750 0.750
In1 0.250 0.250 0.250
In2 0.500 0.500 0.500

***

No. 5
# PBEsol Ta2CrP, relaxed
# N(E_F) = 3.2 states/eV/cell
# ΔH_f (0 K) = -0.224 eV per atom
# M_tot = 0.44 Bohr magnetons per cell
data_Ta2CrP
_chemical_formula_sum 'Ta2 Cr1 P1'
_space_group_name_H-M_alt 'P 1'
_space_group_IT_number 1
_cell_length_a 3.219
_cell_length_b 3.219
_cell_length_c 5.606
_cell_angle_alpha 90.00
_cell_angle_beta 90.00
_cell_angle_gamma 90.00
loop_
_space_group_symop_operation_xyz
'x,y,z'
loop_
_atom_site_label
_atom_site_fract_x
_atom_site_fract_y
_atom_site_fract_z
Ta1 0.000 0.000 0.245
Ta2 0.000 0.000 0.755
Cr1 0.500 0.500 0.500
P1 0.500 0.500 0.000

***

No. 6
# PBEsol OsAuO2, relaxed
# N(E_F) = 3.7 states/eV/cell
# Energy above the lowest structure with this stoichiometry = 471 kJ/mol of formula units
# ΔE_f (raw) = 917 meV per atom
# M_tot = 0.00 Bohr magnetons per cell
data_OsAuO2
_chemical_formula_sum 'Os1 Au1 O2'
_space_group_name_H-M_alt 'P 1'
_space_group_IT_number 1
_cell_length_a 3.976
_cell_length_b 3.976
_cell_length_c 3.976
_cell_angle_alpha 60.00
_cell_angle_beta 60.00
_cell_angle_gamma 60.00
loop_
_space_group_symop_operation_xyz
'x,y,z'
loop_
_atom_site_label
_atom_site_fract_x
_atom_site_fract_y
_atom_site_fract_z
Os1 0.000 0.000 0.000
Au1 0.500 0.500 0.500
O1 0.250 0.250 0.250
O2 0.750 0.750 0.750

***

No. 7
# PBEsol ThSi2Os2, relaxed
# N(E_F) = 2.8 states/eV/cell
# ΔE_f (raw) = -803 meV per atom
# M_tot = 0.00 Bohr magnetons per cell
data_ThSi2Os2
_chemical_formula_sum 'Th1 Si2 Os2'
_space_group_name_H-M_alt 'P 1'
_space_group_IT_number 1
_cell_length_a 5.698
_cell_length_b 5.698
_cell_length_c 5.698
_cell_angle_alpha 136.88
_cell_angle_beta 136.88
_cell_angle_gamma 62.63
loop_
_space_group_symop_operation_xyz
'x,y,z'
loop_
_atom_site_label
_atom_site_fract_x
_atom_site_fract_y
_atom_site_fract_z
Th1 0.000 0.000 0.000
Si1 0.370 0.370 0.000
Si2 0.630 0.630 0.000
Os1 0.250 0.750 0.500
Os2 0.750 0.250 0.500

***

No. 8
# PBEsol CuRuRh2, relaxed
# N(E_F) = 4.0 states/eV/cell
# Energy above the lowest structure with this stoichiometry = 0 kJ/mol of formula units
# ΔH_f (0 K) = 0.035 eV per atom
# M_tot = 0.00 Bohr magnetons per cell
data_CuRuRh2
_chemical_formula_sum 'Cu1 Ru1 Rh2'
_space_group_name_H-M_alt 'P 1'
_space_group_IT_number 1
_cell_length_a 2.676
_cell_length_b 2.676
_cell_length_c 7.254
_cell_angle_alpha 90.00
_cell_angle_beta 90.00
_cell_angle_gamma 90.00
loop_
_space_group_symop_operation_xyz
'x,y,z'
loop_
_atom_site_label
_atom_site_fract_x
_atom_site_fract_y
_atom_site_fract_z
Cu1 0.000 0.000 0.000
Ru1 0.000 0.000 0.500
Rh1 0.500 0.500 0.249
Rh2 0.500 0.500 0.751